# 1
Entry from Alexandria via LeMat-Bulk: crystalline Ca3NbTc at its relaxed geometry (PBE).

calculated volume: 32.9 A^3/atom
energy relative to the elements: 1.626 eV per atom
distance to the lowest polymorph of the same formula: 1.43 eV/f.u.

Geometry as CIF:
```
data_Ca3NbTc
_cell_length_a 5.480
_cell_length_b 5.480
_cell_length_c 5.480
_cell_angle_alpha 90.00
_cell_angle_beta 90.00
_cell_angle_gamma 90.00
_space_group_name_H-M_alt 'P m -3 m'
_space_group_IT_number 221
_space_group_name_Hall '-P 4 2 3'
loop_
_atom_site_label
_atom_site_type_symbol
_atom_site_fract_x
_atom_site_fract_y
_atom_site_fract_z
Ca1 Ca 0.000 0.000 0.500
Nb1 Nb 0.000 0.000 0.000
Tc1 Tc 0.500 0.500 0.500
```

# 2
Entry from Alexandria via LeMat-Bulk: crystalline LiAcHgPd3 at its relaxed geometry (PBE).

calculated volume: 20.8 A^3/atom
energy relative to the elements: -0.464 eV per atom

Geometry as CIF:
```
data_LiAcHgPd3
_cell_length_a 5.934
_cell_length_b 13.167
_cell_length_c 6.389
_cell_angle_alpha 90.00
_cell_angle_beta 90.00
_cell_angle_gamma 90.00
_space_group_name_H-M_alt 'C m c m'
_space_group_IT_number 63
_space_group_name_Hall '-C 2c 2'
loop_
_atom_site_label
_atom_site_type_symbol
_atom_site_fract_x
_atom_site_fract_y
_atom_site_fract_z
Li1 Li 0.000 0.082 0.250
Ac1 Ac 0.000 0.323 0.250
Hg1 Hg 0.000 0.353 0.750
Pd1 Pd 0.000 0.141 0.750
Pd2 Pd 0.239 0.500 0.000
```

# 3
Entry from Alexandria via LeMat-Bulk: crystalline Mn2V4Zn at its relaxed geometry (PBE).

calculated volume: 16.4 A^3/atom
energy relative to the elements: 1.086 eV per atom

Geometry as CIF:
```
data_Mn2V4Zn
_cell_length_a 4.457
_cell_length_b 4.457
_cell_length_c 11.554
_cell_angle_alpha 90.00
_cell_angle_beta 90.00
_cell_angle_gamma 90.00
_space_group_name_H-M_alt 'I 4/m m m'
_space_group_IT_number 139
_space_group_name_Hall '-I 4 2'
loop_
_atom_site_label
_atom_site_type_symbol
_atom_site_fract_x
_atom_site_fract_y
_atom_site_fract_z
Mn1 Mn 0.000 0.000 0.114
V1 V 0.000 0.000 0.292
V2 V 0.000 0.500 0.000
Zn1 Zn 0.000 0.000 0.500
```

# 4
Entry from Alexandria via LeMat-Bulk: crystalline NaCaAcBr6 at its relaxed geometry (PBE).

calculated volume: 37.2 A^3/atom
formation energy without anion corrections: -1.907 eV per atom

Geometry as CIF:
```
data_NaCaAcBr6
_cell_length_a 7.6347
_cell_length_b 7.6347
_cell_length_c 13.2508
_cell_angle_alpha 90.00
_cell_angle_beta 90.00
_cell_angle_gamma 120.00
_space_group_name_H-M_alt 'P -3 1 c'
_space_group_IT_number 163
_space_group_name_Hall '-P 3 2c'
loop_
_atom_site_label
_atom_site_type_symbol
_atom_site_fract_x
_atom_site_fract_y
_atom_site_fract_z
Na1 Na 0.0000 0.0000 0.0000
Ca1 Ca 0.3333 0.6667 0.2500
Ac1 Ac 0.3333 0.6667 0.7500
Br1 Br 0.0130 0.3516 0.1268
```

# 5
Entry from Alexandria via LeMat-Bulk: crystalline BC5 at its relaxed geometry (PBE).

calculated volume: 6.0 A^3/atom
energy relative to the elements: 0.261 eV per atom
distance to the lowest polymorph of the same formula: 0.31 eV/f.u.

Geometry as CIF:
```
data_BC5
_cell_length_a 4.454
_cell_length_b 2.522
_cell_length_c 6.415
_cell_angle_alpha 90.00
_cell_angle_beta 90.21
_cell_angle_gamma 90.00
_space_group_name_H-M_alt 'P 1 21/m 1'
_space_group_IT_number 11
_space_group_name_Hall '-P 2yb'
loop_
_atom_site_label
_atom_site_type_symbol
_atom_site_fract_x
_atom_site_fract_y
_atom_site_fract_z
B1 B 0.102 0.250 0.437
C1 C 0.088 0.250 0.194
C2 C 0.252 0.750 0.872
C3 C 0.253 0.750 0.115
C4 C 0.418 0.250 0.791
C5 C 0.432 0.250 0.547
```

# 6
Entry from Alexandria via LeMat-Bulk: crystalline Tb2ScAl at its relaxed geometry (PBE).

calculated volume: 25.4 A^3/atom
energy relative to the elements: -0.193 eV per atom
distance to the lowest polymorph of the same formula: 0.07 eV/f.u.

Geometry as CIF:
```
data_Tb2ScAl
_cell_length_a 4.693
_cell_length_b 4.693
_cell_length_c 4.609
_cell_angle_alpha 90.00
_cell_angle_beta 90.00
_cell_angle_gamma 90.00
_space_group_name_H-M_alt 'P 4/m m m'
_space_group_IT_number 123
_space_group_name_Hall '-P 4 2'
loop_
_atom_site_label
_atom_site_type_symbol
_atom_site_fract_x
_atom_site_fract_y
_atom_site_fract_z
Tb1 Tb 0.000 0.500 0.000
Sc1 Sc 0.000 0.000 0.500
Al1 Al 0.500 0.500 0.500
```

# 7
Entry from Alexandria via LeMat-Bulk: crystalline LaPrEu at its relaxed geometry (PBE).

calculated volume: 38.2 A^3/atom
energy relative to the elements: 0.021 eV per atom
distance to the lowest polymorph of the same formula: 0.00 eV/f.u.

Geometry as CIF:
```
data_LaPrEu
_cell_length_a 3.779
_cell_length_b 3.779
_cell_length_c 16.047
_cell_angle_alpha 90.00
_cell_angle_beta 90.00
_cell_angle_gamma 90.00
_space_group_name_H-M_alt 'I 4 m m'
_space_group_IT_number 107
_space_group_name_Hall 'I 4 -2'
loop_
_atom_site_label
_atom_site_type_symbol
_atom_site_fract_x
_atom_site_fract_y
_atom_site_fract_z
La1 La 0.000 0.000 0.000
Pr1 Pr 0.000 0.000 0.345
Eu1 Eu 0.000 0.000 0.674
```

# 8
Entry from Alexandria via LeMat-Bulk: crystalline Ni3TeH at its relaxed geometry (PBE).

calculated volume: 20.9 A^3/atom
distance to the lowest polymorph of the same formula: 6.54 eV/f.u.

Geometry as CIF:
```
data_Ni3TeH
_cell_length_a 4.707
_cell_length_b 4.707
_cell_length_c 4.707
_cell_angle_alpha 90.00
_cell_angle_beta 90.00
_cell_angle_gamma 90.00
_space_group_name_H-M_alt 'P m -3 m'
_space_group_IT_number 221
_space_group_name_Hall '-P 4 2 3'
loop_
_atom_site_label
_atom_site_type_symbol
_atom_site_fract_x
_atom_site_fract_y
_atom_site_fract_z
Ni1 Ni 0.000 0.000 0.500
Te1 Te 0.000 0.000 0.000
H1 H 0.500 0.500 0.500
```